Material: Si3Te4
Method: DFT, PBE
State: optimized geometry

Unit cell a=6.1993 b=6.1993 c=6.1993 alpha=90.00 beta=90.00 gamma=90.00
Last column: nearest neighbours and their distance in Å.
Positions (direct):
1 Si 0.0000 0.0000 0.5000  4 Te 2.72
2 Si 0.0000 0.5000 0.0000  4 Te 2.72
3 Si 0.5000 0.0000 0.0000  4 Te 2.72
4 Te 0.2595 0.2595 0.2595  3 Si 2.72
5 Te 0.2595 0.7405 0.7405  3 Si 2.72
6 Te 0.7405 0.2595 0.7405  3 Si 2.72
7 Te 0.7405 0.7405 0.2595  3 Si 2.72

Values from the calculation:
Formation energy from raw total energies   0.334 eV/atom
Space group   P-43m, No. 215
Excess energy over the best structure of this formula in the dataset   80 meV/atom

---

Material: Ca2USe2N2
Method: DFT, PBE
State: optimized geometry

Unit cell a=8.5696 b=8.5696 c=8.5696 alpha=151.53 beta=151.53 gamma=40.70
Last column: nearest neighbours and their distance in Å.
Positions (direct):
1 Ca 0.1319 0.1319 0.0000  4 N 2.99, 5 Se 3.06-3.10
2 Ca 0.8681 0.8681 0.0000  4 N 2.99, 5 Se 3.06-3.10
3 U 0.5000 0.5000 0.0000  4 N 2.11
4 Se 0.3249 0.3249 0.0000  1 U 2.81, 5 Ca 3.06-3.10
5 Se 0.6751 0.6751 0.0000  1 U 2.81, 5 Ca 3.06-3.10
6 N 0.0000 0.5000 0.5000  2 U 2.11
7 N 0.5000 0.0000 0.5000  2 U 2.11

Values from the calculation:
Formation energy from raw total energies   -1.538 eV/atom
Space group   I4/mmm, No. 139

---

Material: Nd3InHg3
Method: DFT, PBE
State: optimized geometry

Unit cell a=7.2812 b=7.2812 c=7.6870 alpha=90.40 beta=90.40 gamma=90.33
Last column: nearest neighbours and their distance in Å.
Positions (direct):
1 Nd 0.0548 0.4420 0.7511  5 Hg 3.22-3.31, 1 In 3.33
2 Nd 0.0741 0.0741 0.2479  5 Hg 3.18-3.26, 1 In 3.25
3 Nd 0.4420 0.0548 0.7511  5 Hg 3.22-3.31, 1 In 3.33
4 Nd 0.5580 0.9452 0.2489  5 Hg 3.22-3.31, 1 In 3.33
5 Nd 0.9259 0.9259 0.7521  5 Hg 3.18-3.26, 1 In 3.25
6 Nd 0.9452 0.5580 0.2489  5 Hg 3.22-3.31, 1 In 3.33
7 In 0.3588 0.3588 0.0665  3 Hg 2.95-3.08, 1 In 3.08, 1 Nd 3.25
8 In 0.6412 0.6412 0.9335  3 Hg 2.95-3.08, 1 In 3.08, 1 Nd 3.25
9 Hg 0.2416 0.7584 0.0000  2 In 3.08, 6 Nd 3.23-3.27
10 Hg 0.2419 0.7581 0.5000  2 Hg 3.12, 6 Nd 3.22-3.31
11 Hg 0.3461 0.3461 0.4504  1 In 2.95, 3 Hg 3.12-3.24, 3 Nd 3.18-3.22
12 Hg 0.6539 0.6539 0.5496  1 In 2.95, 3 Hg 3.12-3.24, 3 Nd 3.18-3.22
13 Hg 0.7584 0.2416 0.0000  2 In 3.08, 6 Nd 3.23-3.27
14 Hg 0.7581 0.2419 0.5000  2 Hg 3.12, 6 Nd 3.22-3.31

Values from the calculation:
Space group   C2/m, No. 12
Energy of formation   -0.3551 eV per atom
Excess energy over the best structure of this formula in the dataset   12 meV/atom

---

Material: Pr2DyTl4
Method: DFT, PBE
State: optimized geometry

Unit cell a=8.5383 b=8.5383 c=8.5383 alpha=143.49 beta=143.49 gamma=52.60
Last column: nearest neighbours and their distance in Å.
Positions (direct):
1 Pr 0.2482 0.2482 0.0000  8 Tl 3.41-3.44, 4 Pr 3.78
2 Pr 0.7518 0.7518 0.0000  8 Tl 3.41-3.44, 4 Pr 3.78
3 Dy 0.5000 0.5000 0.0000  8 Tl 3.16
4 Tl 0.1105 0.6105 0.5000  2 Dy 3.16, 1 Tl 3.38, 4 Pr 3.41-3.44
5 Tl 0.3895 0.8895 0.5000  2 Dy 3.16, 1 Tl 3.38, 4 Pr 3.41-3.44
6 Tl 0.6105 0.1105 0.5000  2 Dy 3.16, 1 Tl 3.38, 4 Pr 3.41-3.44
7 Tl 0.8895 0.3895 0.5000  2 Dy 3.16, 1 Tl 3.38, 4 Pr 3.41-3.44

Values from the calculation:
Space group   I4/mmm, No. 139
Energy of formation   -0.2422 eV per atom
Excess energy over the best structure of this formula in the dataset   0 meV/atom

---

Material: HoTlHgRh
Method: DFT, PBE
State: optimized geometry

Unit cell a=4.9582 b=4.9582 c=4.9582 alpha=60.00 beta=60.00 gamma=60.00
Last column: nearest neighbours and their distance in Å.
Positions (direct):
1 Ho 0.0000 0.0000 0.0000  4 Hg 3.04, 4 Rh 3.04
2 Tl 0.5000 0.5000 0.5000  4 Hg 3.04, 4 Rh 3.04
3 Hg 0.7500 0.7500 0.7500  4 Tl 3.04, 4 Ho 3.04
4 Rh 0.2500 0.2500 0.2500  4 Tl 3.04, 4 Ho 3.04

Values from the calculation:
Space group   F-43m, No. 216
Energy of formation   -0.2562 eV per atom

---

Material: HgW
Method: DFT, PBE
State: optimized geometry

Unit cell a=5.7689 b=5.7689 c=6.9829 alpha=104.24 beta=104.24 gamma=31.02
Last column: nearest neighbours and their distance in Å.
Positions (direct):
1 Hg 0.0000 0.0000 0.0000  7 W 3.00-3.05, 5 Hg 3.09-3.23
2 Hg 0.0490 0.0490 0.5640  6 Hg 2.93-3.23, 6 W 3.01-3.22
3 Hg 0.3216 0.3216 0.6590  7 Hg 2.93-3.17, 5 W 2.95-3.00
4 W 0.3619 0.3619 0.2544  2 W 2.50
5 W 0.6933 0.6933 0.2949  3 W 2.50-2.56
6 W 0.7201 0.7201 0.9419  3 W 2.56-2.81

Values from the calculation:
Space group   Cm, No. 8
Energy of formation   0.6961 eV per atom
Excess energy over the best structure of this formula in the dataset   192 meV/atom

---

Material: AcNdDy2Ho5
Method: DFT, PBE
State: optimized geometry

Unit cell a=9.8946 b=9.8946 c=9.8946 alpha=126.47 beta=126.47 gamma=79.11
Last column: nearest neighbours and their distance in Å.
Positions (direct):
1 Ac 0.2500 0.2500 0.0000  10 Ho 3.72-3.81
2 Ac 0.7500 0.7500 0.0000  10 Ho 3.72-3.81
3 Nd 0.2500 0.7500 0.5000  4 Ho 3.16
4 Nd 0.7500 0.2500 0.5000  4 Ho 3.16
5 Dy 0.1147 0.6147 0.7293  1 Dy 2.89, 2 Ho 3.02
6 Dy 0.3853 0.1147 0.5000  1 Dy 2.89, 2 Ho 3.02
7 Dy 0.6147 0.8853 0.5000  1 Dy 2.89, 2 Ho 3.02
8 Dy 0.8853 0.3853 0.2707  1 Dy 2.89, 2 Ho 3.02
9 Ho 0.0000 0.0000 0.0000  4 Dy 3.58, 8 Ho 3.75, 2 Ac 3.81
10 Ho 0.0747 0.1719 0.5000  1 Dy 3.02, 1 Nd 3.16
11 Ho 0.1719 0.6719 0.0971  1 Dy 3.02, 1 Nd 3.16
12 Ho 0.3281 0.4253 0.5000  1 Dy 3.02, 1 Nd 3.16
13 Ho 0.4253 0.9253 0.0971  1 Dy 3.02, 1 Nd 3.16
14 Ho 0.5000 0.5000 0.0000  4 Dy 3.58, 8 Ho 3.75, 2 Ac 3.81
15 Ho 0.5747 0.0747 0.9029  1 Dy 3.02, 1 Nd 3.16
16 Ho 0.6719 0.5747 0.5000  1 Dy 3.02, 1 Nd 3.16
17 Ho 0.8281 0.3281 0.9029  1 Dy 3.02, 1 Nd 3.16
18 Ho 0.9253 0.8281 0.5000  1 Dy 3.02, 1 Nd 3.16

Values from the calculation:
Space group   I4/mcm, No. 140
Energy of formation   0.2695 eV per atom

---

Material: SrNdHg
Method: DFT, PBE
State: optimized geometry

Unit cell a=5.4056 b=5.4056 c=5.4056 alpha=60.00 beta=60.00 gamma=60.00
Last column: nearest neighbours and their distance in Å.
Positions (direct):
1 Sr 0.0000 0.0000 0.0000  4 Hg 3.31
2 Nd 0.5000 0.5000 0.5000  4 Hg 3.31
3 Hg 0.7500 0.7500 0.7500  4 Nd 3.31, 4 Sr 3.31

Values from the calculation:
Space group   F-43m, No. 216
Energy of formation   -0.1304 eV per atom
Excess energy over the best structure of this formula in the dataset   211 meV/atom

---

Material: SmLu3
Method: DFT, PBE
State: optimized geometry

Unit cell a=3.5725 b=5.5516 c=6.1825 alpha=90.00 beta=90.00 gamma=90.00
Last column: nearest neighbours and their distance in Å.
Positions (direct):
1 Sm 0.0000 0.0000 0.0000  10 Lu 3.46-3.58, 2 Sm 3.57
2 Lu 0.0000 0.5000 0.6640  10 Lu 3.46-3.59, 2 Sm 3.47
3 Lu 0.5000 0.0000 0.4978  8 Lu 3.45-3.57, 4 Sm 3.56-3.58
4 Lu 0.5000 0.5000 0.1672  8 Lu 3.45-3.59, 4 Sm 3.46

Values from the calculation:
Space group   Pmm2, No. 25
Energy of formation   0.0112 eV per atom
Excess energy over the best structure of this formula in the dataset   5 meV/atom

---

Material: PuScIr
Method: DFT, PBE
State: optimized geometry

Unit cell a=4.6493 b=4.6493 c=4.6493 alpha=60.00 beta=60.00 gamma=60.00
Last column: nearest neighbours and their distance in Å.
Positions (direct):
1 Pu 0.0000 0.0000 0.0000  4 Ir 2.85
2 Sc 0.5000 0.5000 0.5000  4 Ir 2.85
3 Ir 0.7500 0.7500 0.7500  4 Sc 2.85, 4 Pu 2.85

Values from the calculation:
Space group   F-43m, No. 216
Energy of formation   -0.4481 eV per atom
Excess energy over the best structure of this formula in the dataset   0 meV/atom

---

Material: Zr2CuHg
Method: DFT, PBE
State: optimized geometry

Unit cell a=3.3185 b=4.2657 c=5.9417 alpha=90.00 beta=106.12 gamma=90.00
Last column: nearest neighbours and their distance in Å.
Positions (direct):
1 Zr 0.0000 0.0000 0.0000  4 Cu 2.87, 3 Hg 3.09-3.10
2 Zr 0.3390 0.5000 0.6784  1 Cu 2.81, 4 Hg 2.98
3 Cu 0.5852 0.5000 0.1700  2 Hg 2.69, 5 Zr 2.81-2.87
4 Hg 0.7282 0.0000 0.4571  2 Cu 2.69, 4 Zr 2.98

Values from the calculation:
Space group   Pm, No. 6
Energy of formation   -0.0744 eV per atom

---

Material: Pr2Pd2Au3
Method: DFT, PBE
State: optimized geometry

Unit cell a=5.5529 b=5.5529 c=7.0574 alpha=96.67 beta=96.67 gamma=45.43
Last column: nearest neighbours and their distance in Å.
Positions (direct):
1 Pr 0.1140 0.1140 0.3152  5 Pd 2.95-3.19, 4 Au 3.20-3.26
2 Pr 0.8860 0.8860 0.6848  5 Pd 2.95-3.19, 4 Au 3.20-3.26
3 Pd 0.4038 0.4038 0.3544  1 Pd 2.66, 3 Au 2.80, 1 Pr 2.95
4 Pd 0.5962 0.5962 0.6456  1 Pd 2.66, 3 Au 2.80, 1 Pr 2.95
5 Au 0.1999 0.1999 0.8719  2 Pd 2.80, 3 Au 2.91-3.09
6 Au 0.5000 0.5000 0.0000  2 Pd 2.80, 2 Au 3.09
7 Au 0.8001 0.8001 0.1281  2 Pd 2.80, 3 Au 2.91-3.09

Values from the calculation:
Space group   C2/m, No. 12
Energy of formation   -0.6879 eV per atom
Excess energy over the best structure of this formula in the dataset   0 meV/atom

---

no.,raw total energy (eV/atom)
1,-3.7854
2,-7.0970
3,-2.9190
4,-3.6173
5,-3.9055
6,-5.9314
7,-4.2826
8,-2.3809
9,-4.5594
10,-10.2895
11,-5.4479
12,-4.9417